The following is a DFT calculation (PBE-GGA) of crystalline PaGaHgI6 at its relaxed geometry.

Lattice parameters (Å, degrees): 8.0598 8.0598 17.9680 90.00 90.00 120.00
Fractional positions:
Pa 0.3333 0.6667 0.2500
Pa 0.6667 0.3333 0.7500
Ga 0.3333 0.6667 0.7500
Ga 0.6667 0.3333 0.2500
Hg 0.0000 0.0000 0.0000
Hg 0.0000 0.0000 0.5000
I 0.0253 0.3733 0.1556
I 0.0253 0.6520 0.3444
I 0.3480 0.3733 0.3444
I 0.3480 0.9747 0.1556
I 0.3733 0.0253 0.6556
I 0.3733 0.3480 0.8444
I 0.6267 0.6520 0.1556
I 0.6267 0.9747 0.3444
I 0.6520 0.0253 0.8444
I 0.6520 0.6267 0.6556
I 0.9747 0.3480 0.6556
I 0.9747 0.6267 0.8444

Results
- space group = P-31c (163)
- size of the total moment (Bohr magnetons per cell) = 0.000
- DFT total energy (eV per cell) = -57.10
- volume (A^3/atom) = 56.16
- uncorrected formation energy (eV per atom) = -0.714